An optimized crystal structure of ZnCo3H, computed with GGA-PBEsol.

Results
Calculated total energy: -5.62 eV per atom
M_tot: 3.844 μB per formula unit
Fermi-level density of states: 6.25 states/eV/f.u.

Cell: 3.573 3.573 3.573 Å, 90.00 90.00 90.00°
Sites, in units of the cell vectors:
Zn 0.500 0.500 0.500
Co 0.000 0.500 0.000
Co 0.500 0.000 0.000
Co 0.000 0.000 0.500
H 0.000 0.000 0.000

An optimized crystal structure of Zr2CoH5, computed with GGA-PBEsol.

Results
Calculated total energy: -5.81 eV per atom
M_tot: 0.706 μB per formula unit
Fermi-level density of states: 2.75 states/eV/f.u.

Cell: 5.589 6.785 6.785 Å, 90.00 90.00 90.00°
Sites, in units of the cell vectors:
Zr 0.750 0.339 0.339
Zr 0.750 0.661 0.661
Zr 0.250 0.339 0.661
Zr 0.250 0.161 0.161
Zr 0.250 0.839 0.839
Zr 0.250 0.661 0.339
Zr 0.750 0.161 0.839
Zr 0.750 0.839 0.161
H 0.072 0.785 0.583
H 0.072 0.917 0.285
H 0.572 0.215 0.583
H 0.572 0.083 0.285
H 0.928 0.715 0.917
H 0.500 0.500 0.500
H 0.928 0.417 0.785
H 0.928 0.285 0.083
H 0.000 0.500 0.500
H 0.428 0.417 0.215
H 0.072 0.215 0.417
H 0.072 0.083 0.715
H 0.428 0.583 0.785
H 0.000 0.000 0.000
H 0.928 0.583 0.215
H 0.428 0.285 0.917
H 0.572 0.917 0.715
H 0.428 0.715 0.083
H 0.500 0.000 0.000
H 0.572 0.785 0.417
Co 0.506 0.000 0.500
Co 0.494 0.500 0.000
Co 0.994 0.500 0.000
Co 0.006 0.000 0.500

An optimized crystal structure of ZrCo3H, computed with GGA-PBEsol.

Results
Calculated total energy: -7.39 eV per atom
M_tot: 0.007 μB per formula unit
Fermi-level density of states: 3.70 states/eV/f.u.

Cell: 3.693 3.693 3.693 Å, 90.00 90.00 90.00°
Sites, in units of the cell vectors:
Co 0.000 0.000 0.500
Co 0.000 0.500 0.000
Co 0.500 0.000 0.000
Zr 0.500 0.500 0.500
H 0.000 0.000 0.000

> Which of these has the lowest calculated total energy?

ZrCo3H

> Look up the M_tot of the second one.

0.706 μB per formula unit

Copy entry 2 word for word.
An optimized crystal structure of Zr2CoH5, computed with GGA-PBEsol.

Results
Calculated total energy: -5.81 eV per atom
M_tot: 0.706 μB per formula unit
Fermi-level density of states: 2.75 states/eV/f.u.

Cell: 5.589 6.785 6.785 Å, 90.00 90.00 90.00°
Sites, in units of the cell vectors:
Zr 0.750 0.339 0.339
Zr 0.750 0.661 0.661
Zr 0.250 0.339 0.661
Zr 0.250 0.161 0.161
Zr 0.250 0.839 0.839
Zr 0.250 0.661 0.339
Zr 0.750 0.161 0.839
Zr 0.750 0.839 0.161
H 0.072 0.785 0.583
H 0.072 0.917 0.285
H 0.572 0.215 0.583
H 0.572 0.083 0.285
H 0.928 0.715 0.917
H 0.500 0.500 0.500
H 0.928 0.417 0.785
H 0.928 0.285 0.083
H 0.000 0.500 0.500
H 0.428 0.417 0.215
H 0.072 0.215 0.417
H 0.072 0.083 0.715
H 0.428 0.583 0.785
H 0.000 0.000 0.000
H 0.928 0.583 0.215
H 0.428 0.285 0.917
H 0.572 0.917 0.715
H 0.428 0.715 0.083
H 0.500 0.000 0.000
H 0.572 0.785 0.417
Co 0.506 0.000 0.500
Co 0.494 0.500 0.000
Co 0.994 0.500 0.000
Co 0.006 0.000 0.500